No. 1
# Si2Sn3Au2 (PBE, relaxed)
data_Si2Sn3Au2
_chemical_formula_sum 'Si6 Sn9 Au6'
_cell_length_a 4.8278
_cell_length_b 4.8278
_cell_length_c 24.2644
_cell_angle_alpha 90.00
_cell_angle_beta 90.00
_cell_angle_gamma 120.00
_symmetry_space_group_name_H-M 'R 3 m'
_symmetry_Int_Tables_number 160
_symmetry_space_group_name_Hall 'R 3 -2"'
loop_
_atom_site_label
_atom_site_fract_x
_atom_site_fract_y
_atom_site_fract_z
_atom_site_occupancy
Si1 0.0000 0.0000 0.0000 1
Si2 0.0000 0.0000 0.4822 1
Sn1 0.0000 0.0000 0.1234 1
Sn2 0.0000 0.0000 0.3601 1
Sn3 0.0000 0.0000 0.8838 1
Au1 0.0000 0.0000 0.2445 1
Au2 0.0000 0.0000 0.7242 1
# * total DFT energy (no corrections): -3.91 eV per atom

---

No. 2
# HoErAs2Pt2 (PBE, relaxed)
data_HoErAs2Pt2
_chemical_formula_sum 'Ho2 Er2 As4 Pt4'
_cell_length_a 4.2856
_cell_length_b 4.2856
_cell_length_c 15.0447
_cell_angle_alpha 90.00
_cell_angle_beta 90.00
_cell_angle_gamma 120.00
_symmetry_space_group_name_H-M 'P 63/m m c'
_symmetry_Int_Tables_number 194
_symmetry_space_group_name_Hall '-P 6c 2c'
loop_
_atom_site_label
_atom_site_fract_x
_atom_site_fract_y
_atom_site_fract_z
_atom_site_occupancy
Ho1 0.0000 0.0000 0.0000 1
Er1 0.0000 0.0000 0.2500 1
As1 0.3333 0.6667 0.1150 1
Pt1 0.3333 0.6667 0.6384 1
# * total magnetization: 0.01 μB/cell
# * E above lowest polymorph: 0 meV per atom

---

No. 3
# NbGaAsO (PBE, relaxed)
data_NbGaAsO
_chemical_formula_sum 'Nb2 Ga2 As2 O2'
_cell_length_a 3.535
_cell_length_b 3.535
_cell_length_c 9.896
_cell_angle_alpha 90.00
_cell_angle_beta 90.00
_cell_angle_gamma 90.00
_symmetry_space_group_name_H-M 'P 4/n m m'
_symmetry_Int_Tables_number 129
loop_
_symmetry_equiv_pos_as_xyz
'x,y,z'
'-x,-y,-z'
'-y+1/2,x,z'
'y+1/2,-x,-z'
'-x+1/2,-y+1/2,z'
'x+1/2,y+1/2,-z'
'y,-x+1/2,z'
'-y,x+1/2,-z'
'x+1/2,-y,-z'
'-x+1/2,y,z'
'-y,-x,-z'
'y,x,z'
'-x,y+1/2,-z'
'x,-y+1/2,z'
'y+1/2,x+1/2,-z'
'-y+1/2,-x+1/2,z'
loop_
_atom_site_label
_atom_site_fract_x
_atom_site_fract_y
_atom_site_fract_z
_atom_site_occupancy
Nb1 0.250 0.250 0.128 1
Ga1 0.250 0.750 0.500 1
As1 0.250 0.250 0.744 1
O1 0.250 0.750 0.000 1
# * total magnetization: 0.64 μB/cell
# * E above lowest polymorph: 66 meV per atom

---

No. 4
# Pu4S3N2 (PBE, relaxed)
data_Pu4S3N2
_chemical_formula_sum 'Pu8 S6 N4'
_cell_length_a 12.922
_cell_length_b 3.823
_cell_length_c 9.803
_cell_angle_alpha 90.00
_cell_angle_beta 130.27
_cell_angle_gamma 90.00
_symmetry_space_group_name_H-M 'C 1 2/m 1'
_symmetry_Int_Tables_number 12
loop_
_symmetry_equiv_pos_as_xyz
'x,y,z'
'-x,-y,-z'
'-x,y,-z'
'x,-y,z'
'x+1/2,y+1/2,z'
'-x+1/2,-y+1/2,-z'
'-x+1/2,y+1/2,-z'
'x+1/2,-y+1/2,z'
loop_
_atom_site_label
_atom_site_fract_x
_atom_site_fract_y
_atom_site_fract_z
_atom_site_occupancy
Pu1 0.101 0.000 0.354 1
Pu2 0.201 0.500 0.131 1
S1 0.000 0.000 0.000 1
S2 0.108 0.500 0.769 1
N1 0.207 0.500 0.361 1
# * total magnetization: 40.00 μB/cell
# * total DFT energy (no corrections): -11.20 eV per atom